Entry 1:
{
  "formula": "Cu2PRh",
  "functional": "GGA-PBE",
  "state": "relaxed",
  "spacegroup": "No. 35",
  "m_tot_mub_per_atom": 0.0000,
  "dos_at_fermi_per_ev_cell": 2.5,
  "e_form_ev_per_atom": 0.1343,
  "volume_a3_per_atom": 13.35,
  "lattice": [[1.3914, -2.3217, 0.0000], [1.3914, 2.3217, 0.0000], [0.0000, 0.0000, 8.2630]],
  "species": ["Cu", "Cu", "P", "Rh"],
  "frac_coords": [[0.0000, 0.0000, 0.0000], [0.5000, 0.5000, 0.2478], [0.5000, 0.5000, 0.7520], [0.0000, 0.0000, 0.5183]]
}


Entry 2:
{
  "formula": "CuPRh3",
  "functional": "GGA-PBE",
  "state": "relaxed",
  "spacegroup": "No. 221",
  "m_tot_mub_per_atom": 0.0001,
  "dos_at_fermi_per_ev_cell": 6.9,
  "e_form_ev_per_atom": 1.3445,
  "volume_a3_per_atom": 17.77,
  "e_above_lowest_polymorph_mev_per_atom": 1188.4,
  "lattice": [[4.4619, 0.0000, 0.0000], [0.0000, 4.4619, 0.0000], [0.0000, 0.0000, 4.4619]],
  "species": ["Cu", "P", "Rh", "Rh", "Rh"],
  "frac_coords": [[0.0000, 0.0000, 0.0000], [0.5000, 0.5000, 0.5000], [0.0000, 0.0000, 0.5000], [0.0000, 0.5000, 0.0000], [0.5000, 0.0000, 0.0000]]
}


Entry 3:
{
  "formula": "Cu2P2Rh",
  "functional": "GGA-PBE",
  "state": "relaxed",
  "spacegroup": "No. 127",
  "m_tot_mub_per_atom": 0.0000,
  "dos_at_fermi_per_ev_cell": 3.6,
  "e_form_ev_per_atom": -0.2056,
  "volume_a3_per_atom": 14.50,
  "lattice": [[5.9263, 0.0000, 0.0000], [0.0000, 5.9263, 0.0000], [0.0000, 0.0000, 4.1284]],
  "species": ["Cu", "Cu", "Cu", "Cu", "P", "P", "P", "P", "Rh", "Rh"],
  "frac_coords": [[0.2454, 0.2546, 0.0000], [0.2546, 0.7546, 0.0000], [0.7454, 0.2454, 0.0000], [0.7546, 0.7454, 0.0000], [0.1287, 0.3713, 0.5000], [0.3713, 0.8713, 0.5000], [0.6287, 0.1287, 0.5000], [0.8713, 0.6287, 0.5000], [0.0000, 0.0000, 0.5000], [0.5000, 0.5000, 0.5000]]
}